A plane-wave DFT calculation with PBE was carried out for crystalline NaDyNb at its relaxed geometry. Values from VASP.

Summary:
Symmetry: No. 216
ΔE to the lowest computed polymorph: 0.391 eV/f.u.
Calculated volume: 31.695 Å³/atom
Uncorrected energy: -0.281 Ry/atom

```
&SYSTEM
  ibrav = 0, nat = 3, ntyp = 3
/
ATOMIC_SPECIES
Na 22.99 Na.upf
Dy 162.50 Dy.upf
Nb 92.91 Nb.upf
ATOMIC_POSITIONS angstrom
Na 1.811 1.811 1.811
Dy 0.000 0.000 0.000
Nb 5.434 5.434 5.434
CELL_PARAMETERS angstrom
0.000 3.623 3.623
3.623 0.000 3.623
3.623 3.623 0.000
```